(1)
Here is ErPuCoO6 after structural relaxation from Alexandria. Energies are from GGA+U.

```
data_ErPuCoO6
_chemical_formula_sum 'Er2 Pu2 Co2 O12'
_cell_length_a 5.5989
_cell_length_b 5.5989
_cell_length_c 8.7644
_cell_angle_alpha 90.00
_cell_angle_beta 90.00
_cell_angle_gamma 120.00
_symmetry_space_group_name_H-M 'P -3 1 c'
_symmetry_Int_Tables_number 163
_symmetry_space_group_name_Hall '-P 3 2c'
loop_
_atom_site_label
_atom_site_type_symbol
_atom_site_fract_x
_atom_site_fract_y
_atom_site_fract_z
Er1 Er 0.3333 0.6667 0.2500
Pu1 Pu 0.3333 0.6667 0.7500
Co1 Co 0.0000 0.0000 0.0000
O1 O 0.0310 0.3560 0.6282
```

Results
* final energy: -8.23 eV/atom
* magnetic moment: 2.00 μB per formula unit

***

(2)
Here is Er2PuCoO8 after structural relaxation from Alexandria. Energies are from GGA+U.

```
data_Er2PuCoO8
_chemical_formula_sum 'Er2 Pu1 Co1 O8'
_cell_length_a 4.9211
_cell_length_b 6.7015
_cell_length_c 4.9225
_cell_angle_alpha 90.00
_cell_angle_beta 93.46
_cell_angle_gamma 90.00
_symmetry_space_group_name_H-M 'P 1 2/m 1'
_symmetry_Int_Tables_number 10
_symmetry_space_group_name_Hall '-P 2y'
loop_
_atom_site_label
_atom_site_type_symbol
_atom_site_fract_x
_atom_site_fract_y
_atom_site_fract_z
Er1 Er 0.0000 0.2382 0.0000
Pu1 Pu 0.5000 0.5000 0.5000
Co1 Co 0.5000 0.0000 0.5000
O1 O 0.2049 0.5000 0.2027
O2 O 0.2250 0.0000 0.2240
O3 O 0.3161 0.2685 0.6823
```

Results
* final energy: -8.14 eV/atom
* magnetic moment: 3.05 μB per formula unit

***

(3)
Here is Rb4Er3CoO8 after structural relaxation from Alexandria. Energies are from GGA+U.

```
data_Rb4Er3CoO8
_chemical_formula_sum 'Rb8 Er6 Co2 O16'
_cell_length_a 11.8623
_cell_length_b 6.7730
_cell_length_c 7.5919
_cell_angle_alpha 90.00
_cell_angle_beta 121.09
_cell_angle_gamma 90.00
_symmetry_space_group_name_H-M 'C 1 2/m 1'
_symmetry_Int_Tables_number 12
_symmetry_space_group_name_Hall '-C 2y'
loop_
_atom_site_label
_atom_site_type_symbol
_atom_site_fract_x
_atom_site_fract_y
_atom_site_fract_z
Rb1 Rb 0.0000 0.0000 0.0000
Rb2 Rb 0.0000 0.5000 0.0000
Rb3 Rb 0.2500 0.2500 0.0000
Er1 Er 0.0000 0.0000 0.5000
Er2 Er 0.2500 0.2500 0.5000
Co1 Co 0.0000 0.5000 0.5000
O1 O 0.0231 0.2652 0.3330
O2 O 0.2237 0.0000 0.6751
O3 O 0.2288 0.5000 0.6809
```

Results
* final energy: -6.13 eV/atom
* magnetic moment: 3.96 μB per formula unit

***

Question: Which of these has the lowest magnetic moment?
Answer: ErPuCoO6